This record from Alexandria via LeMat-Bulk describes a relaxed VCoMo2 crystal. The functional is PBE.

```
data_VCoMo2
_symmetry_space_group_name_H-M 'P 1'
_symmetry_Int_Tables_number 1
_symmetry_space_group_name_Hall 'P 1'
_cell_length_a 6.850
_cell_length_b 6.850
_cell_length_c 5.465
_cell_angle_alpha 51.19
_cell_angle_beta 51.19
_cell_angle_gamma 90.00
loop_
_atom_site_label
_atom_site_type_symbol
_atom_site_fract_x
_atom_site_fract_y
_atom_site_fract_z
Mo1 Mo 0.645 0.125 0.250
Mo2 Mo 0.105 0.625 0.250
Mo3 Mo 0.375 0.355 0.750
Mo4 Mo 0.875 0.895 0.750
Co1 Co 0.000 0.000 0.000
Co2 Co 0.750 0.250 0.500
V1 V 0.500 0.500 0.000
V2 V 0.250 0.750 0.500
```

## Properties
Energy = -8.91 eV/atom
D(E_F) = 7.961 states/eV per cell
V = 118.72 Å³/cell
ΔE_f = 561 meV per atom